# CdAg2Au | Alexandria via LeMat-Bulk | SCAN | single point on PBEsol structure
data_CdAg2Au
_chemical_formula_sum 'Cd1 Ag2 Au1'
_cell_length_a 2.844
_cell_length_b 4.746
_cell_length_c 5.174
_cell_angle_alpha 90.00
_cell_angle_beta 95.61
_cell_angle_gamma 90.00
_space_group_name_H-M_alt 'P 1 2/m 1'
_space_group_IT_number 10
_space_group_name_Hall '-P 2y'
loop_
_atom_site_label
_atom_site_type_symbol
_atom_site_fract_x
_atom_site_fract_y
_atom_site_fract_z
_atom_site_occupancy
Cd1 Cd 0.000 0.000 0.000 1
Ag1 Ag 0.259 0.500 0.748 1
Au1 Au 0.500 0.000 0.500 1
# VASP energy   -40.66 eV per atom
# Formation enthalpy at 0 K   -80 meV per atom